TmAlFe: optimized geometry, PBE.

Computed properties:
VASP energy   -5.885 eV per atom
SG   Amm2 (38)
DFT formation energy   -94 kJ/mol of formula units
Density   7958 kg/m³

Cell: 8.506 5.343 5.343 Å, 59.93 90.00 90.00°
Fractional coordinates of all 12 atoms:
1 Tm 0.184 0.000 0.000
2 Tm 0.300 0.670 0.670
3 Tm 0.700 0.670 0.670
4 Tm 0.816 0.000 0.000
5 Al 0.000 0.496 0.496
6 Al 0.500 0.167 0.167
7 Al 0.500 0.170 0.658
8 Al 0.500 0.658 0.170
9 Fe 0.000 0.003 0.504
10 Fe 0.000 0.504 0.003
11 Fe 0.238 0.323 0.323
12 Fe 0.762 0.323 0.323